The following is a PBE calculation of a relaxed structure of Mg5Zn, from Alexandria.

E_form = -0.004 eV per atom
space group = C2 (5)
calculated total energy = -9.27 eV for the cell shown

abc: 5.3790 5.3772 5.9009
angles: 63.47 63.47 60.47
Element x y z (fractional)
Mg (0.3398, 0.3312, 0.0021)
Mg (0.0020, 0.9934, 0.9979)
Zn (0.5001, 0.8333, 0.5000)
Mg (0.8315, 0.1680, 0.4976)
Mg (0.1653, 0.5020, 0.5024)
Mg (0.6612, 0.6720, 0.0000)